*one*
Computed, not measured: Sc2Ni2Ag after structural relaxation at the PBE level of DFT.

Cell lengths 7.5302, 7.5302, 3.0063 Å; angles 90.00, 90.00, 90.00 degrees
Last column: nearest neighbours and their distance in Å.
Fractional coordinates of all 10 atoms:
Ag 0.0000 0.0000 0.0000  4 Sc 2.86, 2 Ag 3.01
Sc 0.8474 0.6526 0.0000  6 Ni 2.64-2.71, 2 Ag 2.86
Sc 0.1526 0.3474 0.0000  6 Ni 2.64-2.71, 2 Ag 2.86
Ag 0.5000 0.5000 0.0000  4 Sc 2.86, 2 Ag 3.01
Ni 0.8643 0.3643 0.5000  6 Sc 2.64-2.71, 1 Ni 2.89
Ni 0.1357 0.6357 0.5000  6 Sc 2.64-2.71, 1 Ni 2.89
Ni 0.6357 0.8643 0.5000  6 Sc 2.64-2.71, 1 Ni 2.89
Sc 0.3474 0.8474 0.0000  6 Ni 2.64-2.71, 2 Ag 2.86
Sc 0.6526 0.1526 0.0000  6 Ni 2.64-2.71, 2 Ag 2.86
Ni 0.3643 0.1357 0.5000  6 Sc 2.64-2.71, 1 Ni 2.89

spin magnetization: 0.0 μB/f.u.
space-group type: P4/mbm, No. 127
N(E_F): 3.1 states/eV/f.u.

=====

*two*
Computed, not measured: Sc2Ni2Ag after structural relaxation at the PBE level of DFT.

Cell lengths 7.0832, 7.0832, 3.3170 Å; angles 90.00, 90.00, 90.00 degrees
Last column: nearest neighbours and their distance in Å.
Fractional coordinates of all 10 atoms:
Ag 0.5000 0.5000 0.0000  4 Ni 2.80, 8 Sc 3.11
Sc 0.1702 0.6702 0.5000  6 Ni 2.64-2.69
Sc 0.6702 0.8298 0.5000  6 Ni 2.64-2.69
Sc 0.8298 0.3298 0.5000  6 Ni 2.64-2.69
Ni 0.3756 0.8756 0.0000  1 Ni 2.49, 6 Sc 2.64-2.69
Sc 0.3298 0.1702 0.5000  6 Ni 2.64-2.69
Ni 0.6244 0.1244 0.0000  1 Ni 2.49, 6 Sc 2.64-2.69
Ag 0.0000 0.0000 0.0000  4 Ni 2.80, 8 Sc 3.11
Ni 0.8756 0.6244 0.0000  1 Ni 2.49, 6 Sc 2.64-2.69
Ni 0.1244 0.3756 0.0000  1 Ni 2.49, 6 Sc 2.64-2.69

spin magnetization: 0.0 μB/f.u.
space-group type: P4/mbm, No. 127
N(E_F): 4.1 states/eV/f.u.

=====

What are the relative energies? In meV/atom: *one* 222; *two* 0.

=====

*one*
Computed, not measured: Sc8NiAg2 after structural relaxation at the PBE level of DFT.

Cell lengths 4.8773, 6.4220, 8.3824 Å; angles 108.37, 106.91, 90.00 degrees
Last column: nearest neighbours and their distance in Å.
Fractional coordinates of all 11 atoms:
Ag 0.8174 0.2960 0.6349  5 Sc 2.73-3.03
Sc 0.1968 0.2916 0.3936  1 Ag 2.73
Sc 0.3420 0.0413 0.6839  1 Ni 2.63, 1 Ag 2.75
Sc 0.0245 0.7884 0.0490  1 Ag 2.76, 2 Ni 2.88, 1 Sc 3.07
Ag 0.1826 0.7040 0.3651  5 Sc 2.73-3.03
Sc 0.5929 0.4307 0.1857  1 Ni 2.67
Sc 0.9755 0.2116 0.9510  1 Ag 2.76, 2 Ni 2.88, 1 Sc 3.07
Ni 0.5000 0.0000 0.0000  8 Sc 2.63-2.88
Sc 0.4071 0.5693 0.8143  1 Ni 2.67
Sc 0.8032 0.7084 0.6064  1 Ag 2.73
Sc 0.6580 0.9587 0.3161  1 Ni 2.63, 1 Ag 2.75

spin magnetization: 0.0 μB/f.u.
space-group type: C2/m, No. 12
N(E_F): 11.1 states/eV/f.u.

=====

*two*
Computed, not measured: Sc8NiAg2 after structural relaxation at the PBE level of DFT.

Cell lengths 5.5528, 8.2520, 8.2520 Å; angles 130.13, 103.04, 103.04 degrees
Last column: nearest neighbours and their distance in Å.
Fractional coordinates of all 11 atoms:
Ni 0.2895 0.0096 0.0096  6 Sc 2.44-2.55
Ag 0.4857 0.2939 0.7244  6 Sc 2.76-3.09
Sc 0.9850 0.1987 0.8125  4 Ag 3.08-3.11, 7 Sc 3.30-3.41, 1 Ni 3.34
Sc 0.7645 0.7269 0.7269  1 Ni 2.50
Ag 0.4857 0.7244 0.2939  6 Sc 2.76-3.09
Sc 0.1286 0.2737 0.2737  1 Ni 2.44
Sc 0.6544 0.1527 0.3827  1 Ni 2.53, 1 Ag 2.76
Sc 0.2834 0.6184 0.8403  1 Ni 2.55, 1 Ag 2.81
Sc 0.2834 0.8403 0.6184  1 Ni 2.55, 1 Ag 2.81
Sc 0.6544 0.3827 0.1527  1 Ni 2.53, 1 Ag 2.76
Sc 0.9850 0.8125 0.1987  4 Ag 3.08-3.11, 7 Sc 3.30-3.41, 1 Ni 3.34

spin magnetization: 0.0 μB/f.u.
space-group type: Cm, No. 8
N(E_F): 13.2 states/eV/f.u.

=====

What are the relative energies? In meV/atom: *one* 0; *two* 44.

=====

*one*
Computed, not measured: NiAgSe3 after structural relaxation at the PBE level of DFT.

Cell lengths 4.7514, 4.7514, 4.7514 Å; angles 90.00, 90.00, 90.00 degrees
Last column: nearest neighbours and their distance in Å.
Fractional coordinates of all 5 atoms:
Se 0.0000 0.0000 0.5000  2 Ni 2.38
Ag 0.5000 0.5000 0.5000  12 Se 3.36
Se 0.0000 0.5000 0.0000  2 Ni 2.38
Ni 0.0000 0.0000 0.0000  6 Se 2.38
Se 0.5000 0.0000 0.0000  2 Ni 2.38

spin magnetization: 0.0 μB/f.u.
space-group type: Pm-3m, No. 221
N(E_F): 6.9 states/eV/f.u.

=====

*two*
Computed, not measured: NiAgSe3 after structural relaxation at the PBE level of DFT.

Cell lengths 5.1668, 7.0406, 7.0349 Å; angles 123.39, 90.00, 90.00 degrees
Last column: nearest neighbours and their distance in Å.
Fractional coordinates of all 10 atoms:
Ag 0.0478 0.3380 0.6619  6 Se 2.72-2.82
Se 0.8005 0.6953 0.6946  2 Ni 2.42
Ag 0.5478 0.6620 0.3381  6 Se 2.72-2.82
Se 0.7497 0.2664 0.9514  2 Ni 2.44-2.51, 1 Se 2.52
Se 0.3005 0.3047 0.3055  2 Ni 2.42
Se 0.3509 0.0496 0.7339  2 Ni 2.44-2.51, 1 Se 2.52
Se 0.8509 0.9504 0.2661  2 Ni 2.44-2.51, 1 Se 2.52
Ni 0.0510 0.0173 0.9826  6 Se 2.42-2.51, 2 Ni 2.62
Ni 0.5510 0.9827 0.0174  6 Se 2.42-2.51, 2 Ni 2.62
Se 0.2497 0.7335 0.0486  2 Ni 2.44-2.51, 1 Se 2.52

spin magnetization: 0.0 μB/f.u.
space-group type: P2_1, No. 4
N(E_F): 2.6 states/eV/f.u.

=====

*three*
Computed, not measured: NiAgSe3 after structural relaxation at the PBE level of DFT.

Cell lengths 5.0492, 5.0492, 5.0492 Å; angles 90.00, 90.00, 90.00 degrees
Last column: nearest neighbours and their distance in Å.
Fractional coordinates of all 5 atoms:
Se 0.0000 0.5000 0.0000  2 Ag 2.52
Ag 0.0000 0.0000 0.0000  6 Se 2.52
Ni 0.5000 0.5000 0.5000  12 Se 3.57
Se 0.5000 0.0000 0.0000  2 Ag 2.52
Se 0.0000 0.0000 0.5000  2 Ag 2.52

spin magnetization: 2.3 μB/f.u.
space-group type: Pm-3m, No. 221
N(E_F): 7.4 states/eV/f.u.

=====

*four*
Computed, not measured: NiAgSe3 after structural relaxation at the PBE level of DFT.

Cell lengths 6.7979, 6.7940, 7.8466 Å; angles 46.67, 51.75, 59.57 degrees
Last column: nearest neighbours and their distance in Å.
Fractional coordinates of all 10 atoms:
Se 0.4899 0.7405 0.7697  2 Ni 2.41, 1 Ag 2.69
Ni 0.3328 0.3327 0.0003  6 Se 2.41-2.45
Ag 0.1216 0.1717 0.7069  4 Se 2.66-2.76
Se 0.2860 0.8573 0.2484  2 Ni 2.44-2.45, 1 Se 2.60, 1 Ag 2.66
Se 0.5101 0.2595 0.2303  2 Ni 2.41, 1 Ag 2.69
Se 0.1058 0.5346 0.7517  2 Ni 2.45, 1 Se 2.60, 1 Ag 2.66
Ni 0.6672 0.6673 0.9997  6 Se 2.41-2.45
Ag 0.8784 0.8283 0.2931  4 Se 2.66-2.76
Se 0.7140 0.1427 0.7516  2 Ni 2.44-2.45, 1 Se 2.60, 1 Ag 2.66
Se 0.8942 0.4654 0.2483  2 Ni 2.45, 1 Se 2.60, 1 Ag 2.66

spin magnetization: 0.0 μB/f.u.
space-group type: C2/m, No. 12
N(E_F): 2.3 states/eV/f.u.

=====

What are the relative energies? In meV/atom: *one* 513; *two* 55; *three* 1208; *four* 0.